HfC3Cl | PBE-GGA | optimized geometry

Values from the calculation:
Uncorrected formation energy ... 2.41 eV per atom
Calculated density ... 4.74 g/cm3
Raw total energy ... -5.4826 eV per atom

Geometry as POSCAR:
```
HfC3Cl
1.0
4.439 0.000 0.000
0.000 4.439 0.000
0.000 0.000 4.439
C Cl Hf
3 1 1
Cartesian
0.000 2.220 0.000 C
2.220 0.000 0.000 C
0.000 0.000 2.220 C
2.220 2.220 2.220 Cl
0.000 0.000 0.000 Hf
```



HfMg2CCl | PBE-GGA | optimized geometry

Values from the calculation:
Uncorrected formation energy ... 0.78 eV per atom
Calculated density ... 4.34 g/cm3
Raw total energy ... -4.0592 eV per atom

Geometry as POSCAR:
```
HfMg2CCl
1.0
-3.470 2.053 0.401
-1.532 -3.024 2.220
2.250 2.763 5.317
Cl Mg C Hf
1 2 1 1
Cartesian
1.125 1.381 2.658 Cl
-0.766 -1.512 1.110 Mg
-1.735 1.027 0.201 Mg
0.000 0.000 0.000 C
-1.376 0.896 3.969 Hf
```



NaHfCCl2 | PBE-GGA | optimized geometry

Values from the calculation:
Uncorrected formation energy ... 0.73 eV per atom
Calculated density ... 2.83 g/cm3
Raw total energy ... -4.1060 eV per atom

Geometry as POSCAR:
```
NaHfCCl2
1.0
4.824 0.000 0.000
0.000 7.162 0.000
0.000 0.000 4.824
Cl Na Hf C
2 1 1 1
Cartesian
2.412 0.000 0.000 Cl
0.000 0.000 2.412 Cl
0.000 3.581 0.000 Na
0.000 0.000 0.000 Hf
2.412 3.581 2.412 C
```



HfPCCl2 | PBE-GGA | optimized geometry

Values from the calculation:
Uncorrected formation energy ... 0.75 eV per atom
Calculated density ... 3.93 g/cm3
Raw total energy ... -4.9047 eV per atom

Geometry as POSCAR:
```
HfPCCl2
1.0
4.885 0.000 0.000
0.000 4.885 0.000
0.000 0.000 5.178
Cl P Hf C
2 1 1 1
Cartesian
2.442 0.000 0.000 Cl
0.000 2.442 0.000 Cl
0.000 0.000 2.589 P
0.000 0.000 0.000 Hf
2.442 2.442 2.589 C
```



HfPCCl2 | PBE-GGA | optimized geometry

Values from the calculation:
Uncorrected formation energy ... 0.84 eV per atom
Calculated density ... 6.32 g/cm3
Raw total energy ... -4.8201 eV per atom

Geometry as POSCAR:
```
HfPCCl2
1.0
4.233 0.000 0.000
0.000 4.233 0.000
0.000 0.000 4.288
Cl P C Hf
2 1 1 1
Cartesian
0.000 2.116 0.000 Cl
2.116 0.000 0.000 Cl
0.000 0.000 2.144 P
0.000 0.000 0.000 C
2.116 2.116 2.144 Hf
```



Rb2HfCCl6 | PBE-GGA | optimized geometry

Values from the calculation:
Uncorrected formation energy ... -0.99 eV per atom
Calculated density ... 3.08 g/cm3
Raw total energy ... -4.2138 eV per atom

Geometry as POSCAR:
```
Rb2HfCCl6
1.0
7.392 0.000 0.000
0.000 7.392 0.000
3.696 3.696 5.673
Rb Cl C Hf
2 6 1 1
Cartesian
7.392 3.696 2.836 Rb
3.696 7.392 2.836 Rb
7.392 7.392 2.465 Cl
5.651 5.651 0.000 Cl
1.740 1.740 0.000 Cl
3.696 3.696 3.208 Cl
5.651 1.740 0.000 Cl
1.740 5.651 0.000 Cl
3.696 3.696 0.000 C
0.000 0.000 0.000 Hf
```



HfCS2Cl | PBE-GGA | optimized geometry

Values from the calculation:
Uncorrected formation energy ... 0.62 eV per atom
Calculated density ... 6.59 g/cm3
Raw total energy ... -5.2345 eV per atom

Geometry as POSCAR:
```
HfCS2Cl
1.0
-2.871 3.085 -0.116
-1.845 -1.587 3.443
2.415 2.336 2.371
Hf S C Cl
1 2 1 1
Cartesian
-1.151 1.917 2.849 Hf
-0.922 -0.794 1.721 S
-1.436 1.542 -0.058 S
0.000 0.000 0.000 C
1.207 1.168 1.186 Cl
```



HfCS2Cl | PBE-GGA | optimized geometry

Values from the calculation:
Uncorrected formation energy ... 0.63 eV per atom
Calculated density ... 3.99 g/cm3
Raw total energy ... -5.2270 eV per atom

Geometry as POSCAR:
```
HfCS2Cl
1.0
4.943 0.000 0.000
0.000 4.943 0.000
0.000 0.000 4.940
Hf C Cl S
1 1 1 2
Cartesian
0.000 0.000 0.000 Hf
2.472 2.472 2.470 C
0.000 0.000 2.470 Cl
2.472 0.000 0.000 S
0.000 2.472 0.000 S
```



HfSb2CCl | PBE-GGA | optimized geometry

Values from the calculation:
Uncorrected formation energy ... 0.56 eV per atom
Calculated density ... 7.11 g/cm3
Raw total energy ... -5.2964 eV per atom

Geometry as POSCAR:
```
HfSb2CCl
1.0
-4.310 2.065 1.339
-2.163 -2.698 -2.800
-0.488 -3.363 3.617
Hf Sb Cl C
1 2 1 1
Cartesian
-1.081 -1.349 -1.400 Hf
-0.244 -1.681 1.808 Sb
-2.155 1.032 0.669 Sb
-3.480 -1.998 1.078 Cl
0.000 0.000 0.000 C
```



HgCCl2 | PBE-GGA | optimized geometry

Values from the calculation:
Uncorrected formation energy ... 1.05 eV per atom
Calculated density ... 4.72 g/cm3
Raw total energy ... -2.2522 eV per atom

Geometry as POSCAR:
```
HgCCl2
1.0
1.900 -5.827 8.512
2.597 -8.089 6.152
4.939 -5.909 7.121
Cl Hg C
2 1 1
Cartesian
1.173 -2.463 2.707 Cl
8.263 -17.362 19.078 Cl
0.000 0.000 0.000 Hg
4.718 -9.913 10.892 C
```



Hg2CCl | PBE-GGA | optimized geometry

Values from the calculation:
Uncorrected formation energy ... 0.72 eV per atom
Calculated density ... 7.54 g/cm3
Raw total energy ... -2.2010 eV per atom

Geometry as POSCAR:
```
Hg2CCl
1.0
-3.549 -3.830 -2.967
3.143 0.978 -5.023
3.161 -5.552 -2.693
Hg Cl C
4 2 2
Cartesian
-0.583 -3.172 -2.778 Hg
1.859 -1.743 -4.561 Hg
1.615 -6.784 -8.371 Hg
2.619 -5.109 -5.656 Hg
0.000 0.000 0.000 Cl
-0.296 -5.404 -4.827 Cl
-0.203 -1.426 -3.995 C
3.051 -3.000 -5.856 C
```



HgCCl2 | PBE-GGA | optimized geometry

Values from the calculation:
Uncorrected formation energy ... 1.06 eV per atom
Calculated density ... 5.03 g/cm3
Raw total energy ... -2.2469 eV per atom

Geometry as POSCAR:
```
HgCCl2
1.0
-9.084 -1.536 4.167
-7.424 -4.018 5.567
-7.321 -1.005 6.903
C Cl Hg
1 2 1
Cartesian
0.000 0.000 0.000 C
-22.552 -6.207 15.746 Cl
-1.277 -0.351 0.892 Cl
-11.915 -3.279 8.319 Hg
```



HgCCl2 | PBE-GGA | optimized geometry

Values from the calculation:
Uncorrected formation energy ... 1.60 eV per atom
Calculated density ... 5.94 g/cm3
Raw total energy ... -1.7033 eV per atom

Geometry as POSCAR:
```
HgCCl2
1.0
-4.387 -1.196 1.601
-2.742 3.295 2.206
-3.924 1.734 -2.200
Cl C Hg
2 1 1
Cartesian
-8.291 2.874 1.205 Cl
-2.764 0.958 0.402 Cl
0.000 0.000 0.000 C
-5.527 1.916 0.804 Hg
```



HgCCl2 | PBE-GGA | optimized geometry

Values from the calculation:
Uncorrected formation energy ... 0.83 eV per atom
Calculated density ... 4.64 g/cm3
Raw total energy ... -2.4750 eV per atom

Geometry as POSCAR:
```
HgCCl2
1.0
6.591 0.000 0.000
0.000 6.591 0.000
3.295 3.295 4.671
C Cl Hg
2 4 2
Cartesian
3.295 6.591 2.335 C
3.295 3.295 0.000 C
8.239 6.592 3.503 Cl
4.943 6.590 3.503 Cl
3.297 1.648 1.168 Cl
3.294 4.943 1.168 Cl
6.591 3.295 2.335 Hg
0.000 0.000 0.000 Hg
```



Hg2CCl | PBE-GGA | optimized geometry

Values from the calculation:
Uncorrected formation energy ... 1.52 eV per atom
Calculated density ... 8.93 g/cm3
Raw total energy ... -1.3978 eV per atom

Geometry as POSCAR:
```
Hg2CCl
1.0
0.000 3.468 3.468
3.468 0.000 3.468
3.468 3.468 0.000
Hg Cl C
2 1 1
Cartesian
5.202 5.202 5.202 Hg
1.734 1.734 1.734 Hg
3.468 3.468 3.468 Cl
0.000 0.000 0.000 C
```



Ho3HgCCl | PBE-GGA | optimized geometry

Values from the calculation:
Uncorrected formation energy ... -0.67 eV per atom
Calculated density ... 8.69 g/cm3
Raw total energy ... -4.8564 eV per atom

Geometry as POSCAR:
```
Ho3HgCCl
1.0
-0.792 -2.989 -1.959
-2.312 -4.240 7.403
-8.100 3.097 -1.448
Ho Cl Hg C
6 2 2 2
Cartesian
-6.128 -1.913 0.268 Ho
-5.076 -2.218 3.728 Ho
-8.405 -0.467 2.402 Ho
-3.435 -5.367 4.447 Ho
-2.799 -3.664 1.593 Ho
-7.769 1.235 -0.452 Ho
-5.977 -4.678 4.425 Cl
-5.228 0.547 -0.429 Cl
-8.771 -3.377 3.569 Hg
-2.434 -0.755 0.426 Hg
-8.415 -1.097 -0.052 C
-2.789 -3.035 4.048 C
```



Hg2IrCCl | PBE-GGA | optimized geometry

Values from the calculation:
Uncorrected formation energy ... 2.23 eV per atom
Calculated density ... 6.12 g/cm3
Raw total energy ... -1.8811 eV per atom

Geometry as POSCAR:
```
Hg2IrCCl
1.0
-4.055 1.932 4.502
-3.021 -2.604 -1.604
2.006 -4.677 3.814
Ir C Cl Hg
1 1 1 2
Cartesian
-1.510 -1.302 -0.802 Ir
-2.535 -2.674 3.356 C
0.000 0.000 0.000 Cl
1.003 -2.338 1.907 Hg
-2.027 0.966 2.251 Hg
```



MnHgCCl2 | PBE-GGA | optimized geometry

Values from the calculation:
Uncorrected formation energy ... 1.20 eV per atom
Calculated density ... 4.21 g/cm3
Raw total energy ... -3.2748 eV per atom

Geometry as POSCAR:
```
MnHgCCl2
1.0
5.762 0.000 0.000
0.000 4.025 0.000
0.000 0.000 5.762
Cl C Hg Mn
2 1 1 1
Cartesian
2.881 0.000 0.000 Cl
0.000 0.000 2.881 Cl
0.000 2.013 0.000 C
0.000 0.000 0.000 Hg
2.881 2.013 2.881 Mn
```



Mn2HgCCl | PBE-GGA | optimized geometry

Values from the calculation:
Uncorrected formation energy ... 1.55 eV per atom
Calculated density ... 6.80 g/cm3
Raw total energy ... -4.3951 eV per atom

Geometry as POSCAR:
```
Mn2HgCCl
1.0
4.558 0.000 0.000
0.000 4.208 0.000
0.000 0.000 4.558
Mn C Cl Hg
2 1 1 1
Cartesian
0.000 0.000 2.279 Mn
2.279 0.000 0.000 Mn
0.000 2.104 0.000 C
0.000 0.000 0.000 Cl
2.279 2.104 2.279 Hg
```



Hg2MoCCl | PBE-GGA | optimized geometry

Values from the calculation:
Uncorrected formation energy ... 1.47 eV per atom
Calculated density ... 6.75 g/cm3
Raw total energy ... -3.0276 eV per atom

Geometry as POSCAR:
```
Hg2MoCCl
1.0
4.193 0.000 0.000
0.000 7.621 0.000
0.000 0.000 4.193
Mo C Hg Cl
1 1 2 1
Cartesian
2.097 3.811 2.097 Mo
0.000 0.000 0.000 C
0.000 0.000 2.097 Hg
2.097 0.000 0.000 Hg
0.000 3.811 0.000 Cl
```



Hg2CN2Cl2 | PBE-GGA | optimized geometry

Values from the calculation:
Uncorrected formation energy ... 0.00 eV per atom
Calculated density ... 5.43 g/cm3
Raw total energy ... -4.3076 eV per atom

Geometry as POSCAR:
```
Hg2CN2Cl2
1.0
9.223 0.000 0.000
0.000 8.162 0.048
0.000 2.514 8.340
Hg N Cl C
8 8 8 4
Cartesian
4.612 4.081 0.024 Hg
0.000 4.081 0.024 Hg
0.000 5.338 4.194 Hg
6.326 8.957 6.153 Hg
4.612 5.338 4.194 Hg
7.509 7.700 1.983 Hg
1.714 2.976 6.405 Hg
2.897 1.719 2.235 Hg
7.701 1.607 4.760 N
1.522 9.069 3.628 N
4.516 2.179 0.927 N
3.089 10.326 7.798 N
4.707 8.497 7.461 N
6.134 0.350 0.590 N
0.095 3.436 5.097 N
9.128 7.240 3.291 N
4.785 7.661 3.734 Cl
2.308 5.779 6.168 Cl
0.174 1.758 0.484 Cl
6.915 4.897 2.220 Cl
6.919 6.154 6.389 Cl
9.049 8.918 7.904 Cl
4.438 3.015 4.653 Cl
2.304 4.522 1.998 Cl
0.773 8.143 3.434 C
5.384 1.276 0.785 C
8.450 2.533 4.954 C
3.839 9.400 7.603 C
```



Nd3HgCCl | PBE-GGA | optimized geometry

Values from the calculation:
Uncorrected formation energy ... -0.59 eV per atom
Calculated density ... 6.99 g/cm3
Raw total energy ... -4.8650 eV per atom

Geometry as POSCAR:
```
Nd3HgCCl
1.0
-3.271 1.592 1.215
-1.644 -7.392 5.257
4.627 4.545 6.499
Cl Nd Hg C
2 6 2 2
Cartesian
-2.003 -3.474 8.235 Cl
1.716 2.219 4.736 Cl
0.024 -2.591 6.483 Nd
-2.503 -1.413 4.189 Nd
-0.311 1.336 6.488 Nd
2.991 3.120 6.989 Nd
2.216 0.159 8.782 Nd
-3.278 -4.374 5.982 Nd
-0.001 0.152 2.823 Hg
-0.286 -1.406 10.149 Hg
0.941 2.473 8.371 C
-1.229 -3.727 4.601 C
```



Hg2C2ClO6 | PBE-GGA | optimized geometry

Values from the calculation:
Uncorrected formation energy ... -0.77 eV per atom
Calculated density ... 5.16 g/cm3
Raw total energy ... -5.3696 eV per atom

Geometry as POSCAR:
```
Hg2C2ClO6
1.0
-5.384 -1.103 1.643
-0.599 -5.672 -1.187
2.495 1.674 5.521
O C Hg Cl
6 2 2 1
Cartesian
-4.125 -1.842 3.274 O
-0.707 -3.030 4.514 O
1.371 -2.151 4.441 O
-2.782 -2.070 1.462 O
-4.860 -2.949 1.535 O
0.636 -3.258 2.702 O
0.366 -2.822 3.895 C
-3.854 -2.278 2.081 C
-0.878 -3.511 1.108 Hg
-2.611 -1.590 4.868 Hg
-1.445 0.286 3.582 Cl
```



HgC2ClO | PBE-GGA | optimized geometry

Values from the calculation:
Uncorrected formation energy ... 3.03 eV per atom
Calculated density ... 4.59 g/cm3
Raw total energy ... -2.0785 eV per atom

Geometry as POSCAR:
```
HgC2ClO
1.0
-0.577 2.583 3.091
-0.834 -4.657 3.737
3.988 -0.070 0.803
O Hg Cl C
1 1 1 2
Cartesian
1.289 -1.072 3.815 O
0.000 0.000 0.000 Hg
-0.417 -2.329 1.868 Cl
-0.288 1.291 1.545 C
1.994 -0.035 0.401 C
```



HgP2CCl | PBE-GGA | optimized geometry

Values from the calculation:
Uncorrected formation energy ... 2.36 eV per atom
Calculated density ... 3.83 g/cm3
Raw total energy ... -2.0739 eV per atom

Geometry as POSCAR:
```
HgP2CCl
1.0
-4.515 -0.109 2.246
1.889 -2.916 3.657
1.278 4.312 2.778
C P Hg Cl
1 2 1 1
Cartesian
-0.674 0.644 4.341 C
0.945 -1.458 1.829 P
-2.258 -0.054 1.123 P
0.000 0.000 0.000 Hg
0.639 2.156 1.389 Cl
```



HgPCCl2 | PBE-GGA | optimized geometry

Values from the calculation:
Uncorrected formation energy ... 0.97 eV per atom
Calculated density ... 4.93 g/cm3
Raw total energy ... -2.7525 eV per atom

Geometry as POSCAR:
```
HgPCCl2
1.0
5.531 0.000 0.000
0.000 5.531 0.000
0.000 0.000 3.463
Cl Hg C P
2 1 1 1
Cartesian
2.765 0.000 0.000 Cl
0.000 2.765 0.000 Cl
2.765 2.765 1.731 Hg
0.000 0.000 0.000 C
0.000 0.000 1.731 P
```